PrNd3Cd | PBE | optimized geometry

Cell: 6.9086 6.9086 13.0999 Å, 92.35 92.35 32.00°
Closest atoms and distances in Å follow each position.
Element x y z (fractional)
Pr1 0.2271 0.2271 0.2497  2 Cd 3.33, 5 Nd 3.67-3.68
Pr2 0.7729 0.7729 0.7503  2 Cd 3.33, 5 Nd 3.67-3.68
Nd1 0.0404 0.0404 0.6896  2 Cd 3.35, 5 Nd 3.60-3.68, 3 Pr 3.67-3.68
Nd2 0.1456 0.1456 0.9475  4 Cd 3.30-3.39, 3 Nd 3.59-3.60, 2 Pr 3.68
Nd3 0.3664 0.3664 0.5276  9 Nd 3.61-3.81, 3 Pr 3.74-4.01
Nd4 0.6336 0.6336 0.4724  9 Nd 3.61-3.81, 3 Pr 3.74-4.01
Nd5 0.8544 0.8544 0.0525  4 Cd 3.30-3.39, 3 Nd 3.59-3.60, 2 Pr 3.68
Nd6 0.9596 0.9596 0.3104  2 Cd 3.35, 5 Nd 3.60-3.68, 3 Pr 3.67-3.68
Cd1 0.4450 0.4450 0.8727  6 Nd 3.30-3.39, 2 Pr 3.33, 1 Cd 3.58
Cd2 0.5550 0.5550 0.1273  6 Nd 3.30-3.39, 2 Pr 3.33, 1 Cd 3.58

Its total magnetization is 0.00 μB per cell. The volume comes out at 33.10 A^3/atom. As for the space group: C2/m. As for the energy above the most stable polymorph in this dataset: 0.000 eV/atom. The density of states at the Fermi level is 6.86 states/eV/f.u. The value obtained for the mass density is 6.9 g/cm3.